! CaHg2SbW (PBE-GGA, relaxed); values from VASP
! Total moment (μB per cell): 4.5
! Electronic total energy (eV per atom): -2.49
! Energy relative to the elements, uncorrected (eV per atom): 1.45
&SYSTEM
  ibrav = 0, nat = 5, ntyp = 4
/
ATOMIC_SPECIES
Ca 40.08 Ca.upf
Hg 200.59 Hg.upf
Sb 121.76 Sb.upf
W 183.84 W.upf
CELL_PARAMETERS angstrom
-2.024 -5.073 0.936
1.404 -1.566 -5.453
4.984 -1.663 1.761
ATOMIC_POSITIONS crystal
Ca 0.000 0.000 0.000
Hg 0.000 0.000 0.500
Hg 0.500 0.000 0.000
Sb 0.000 0.500 0.000
W 0.500 0.500 0.500

! CaScHg2 (PBE-GGA, relaxed); values from VASP
! Formation energy (eV/atom): -0.460
! Total moment (μB per cell): 0.0
! Electronic total energy (eV per atom): -2.69
&SYSTEM
  ibrav = 0, nat = 4, ntyp = 3
/
ATOMIC_SPECIES
Ca 40.08 Ca.upf
Hg 200.59 Hg.upf
Sc 44.96 Sc.upf
CELL_PARAMETERS angstrom
8.146 -0.003 -0.006
-3.274 3.999 0.007
1.599 1.308 2.962
ATOMIC_POSITIONS crystal
Ca 0.500 0.500 0.000
Hg 0.500 0.000 0.500
Hg 0.000 0.000 0.000
Sc 0.000 0.500 0.500

! CaSc2Hg (PBE-GGA, relaxed); values from VASP
! Formation energy (eV/atom): 0.010
! Total moment (μB per cell): 0.0
! Electronic total energy (eV per atom): -3.73
&SYSTEM
  ibrav = 0, nat = 4, ntyp = 3
/
ATOMIC_SPECIES
Ca 40.08 Ca.upf
Sc 44.96 Sc.upf
Hg 200.59 Hg.upf
CELL_PARAMETERS angstrom
-4.366 2.098 1.983
-3.283 -2.956 2.807
-0.433 0.748 5.162
ATOMIC_POSITIONS crystal
Ca 0.500 0.500 0.500
Sc 0.250 0.250 0.250
Sc 0.000 0.000 0.000
Hg 0.750 0.750 0.750

! CaSc2Hg (PBE-GGA, relaxed); values from VASP
! Formation energy (eV/atom): 0.012
! Total moment (μB per cell): 0.0
! Electronic total energy (eV per atom): -3.73
&SYSTEM
  ibrav = 0, nat = 4, ntyp = 3
/
ATOMIC_SPECIES
Hg 200.59 Hg.upf
Sc 44.96 Sc.upf
Ca 40.08 Ca.upf
CELL_PARAMETERS angstrom
-2.897 3.692 -3.101
4.560 -3.177 -3.166
-1.702 -2.324 -1.627
ATOMIC_POSITIONS crystal
Hg 0.500 0.500 0.000
Sc 0.500 0.000 0.500
Sc 0.000 0.000 0.000
Ca 0.000 0.500 0.500